(1)
NpTc2Sn: optimized geometry, PBE.

a b c (Å): 6.623 6.623 6.623
angles (deg): 90.00 90.00 90.00
Space group Fm-3m (No. 225)
Symmetry-distinct sites (fractional):
Np: 0.000 0.000 0.000 (multiplicity 4)
Tc: 0.250 0.250 0.250 (multiplicity 8)
Sn: 0.000 0.000 0.500 (multiplicity 4)

- Total magnetization: 8.7 μB per cell
- E_tot: -9.414 eV/atom

***

(2)
NpZnTcSn: optimized geometry, PBE.

a b c (Å): 6.749 6.749 6.749
angles (deg): 90.00 90.00 90.00
Space group F-43m (No. 216)
Symmetry-distinct sites (fractional):
Np: 0.000 0.000 0.000 (multiplicity 4)
Zn: 0.250 0.250 0.750 (multiplicity 4)
Tc: 0.250 0.250 0.250 (multiplicity 4)
Sn: 0.000 0.000 0.500 (multiplicity 4)

- Total magnetization: 12.6 μB per cell
- E_tot: -6.904 eV/atom

***

(3)
Np2SnTe4: optimized geometry, PBE.

a b c (Å): 7.878 12.543 4.631
angles (deg): 90.00 90.00 90.00
Space group Pbam (No. 55)
Symmetry-distinct sites (fractional):
Np: 0.094 0.188 0.000 (multiplicity 4)
Sn: 0.000 0.500 0.500 (multiplicity 2)
Te: 0.139 0.726 0.500 (multiplicity 4)
Te: 0.242 0.953 0.000 (multiplicity 4)

- Formation energy from raw total energies: -0.46 eV per atom
- Total magnetization: 16.0 μB per cell

***

(4)
NpSn3Te6: optimized geometry, PBE.

a b c (Å): 12.523 4.266 13.014
angles (deg): 90.00 106.70 90.00
Space group P2_1/m (No. 11)
Symmetry-distinct sites (fractional):
Np: 0.046 0.250 0.183 (multiplicity 2)
Sn: 0.141 0.250 0.598 (multiplicity 2)
Sn: 0.340 0.750 0.024 (multiplicity 2)
Sn: 0.454 0.250 0.348 (multiplicity 2)
Te: 0.095 0.750 0.375 (multiplicity 2)
Te: 0.107 0.250 0.962 (multiplicity 2)
Te: 0.185 0.750 0.759 (multiplicity 2)
Te: 0.241 0.750 0.217 (multiplicity 2)
Te: 0.377 0.250 0.561 (multiplicity 2)
Te: 0.499 0.750 0.868 (multiplicity 2)

- Formation energy from raw total energies: -0.30 eV per atom
- Total magnetization: 6.5 μB per cell

***

(5)
NpSnTe4: optimized geometry, PBE.

a b c (Å): 10.112 11.098 8.945
angles (deg): 90.00 90.00 90.00
Space group Cmcm (No. 63)
Symmetry-distinct sites (fractional):
Np: 0.000 0.016 0.250 (multiplicity 4)
Sn: 0.000 0.362 0.750 (multiplicity 4)
Te: 0.000 0.184 0.514 (multiplicity 8)
Te: 0.209 0.476 0.250 (multiplicity 8)

- Formation energy from raw total energies: -0.12 eV per atom
- Total magnetization: 11.9 μB per cell

***

(6)
NpSn6Te8: optimized geometry, PBE.

a b c (Å): 10.1609 10.1609 6.4510
angles (deg): 90.00 90.00 120.00
Space group P-3 (No. 147)
Symmetry-distinct sites (fractional):
Np: 0.0000 0.0000 0.0000 (multiplicity 1)
Sn: 0.0735 0.4019 0.8322 (multiplicity 6)
Te: 0.0041 0.2583 0.2550 (multiplicity 6)
Te: 0.3333 0.6667 0.0455 (multiplicity 2)

- Formation energy from raw total energies: -0.27 eV per atom
- Total magnetization: 3.0 μB per cell

***

Question: Among the records above, which one has the lowest total magnetization?
Answer: NpSn6Te8

***

Question: What is the total magnetization in the first record?
Answer: 8.7 μB per cell